A relaxed K2Li3PaH12 crystal, computed with GGA-PBE.

Structure (extended XYZ):
```
18
Lattice="3.4397 1.9859 5.1145 -3.4397 1.9859 5.1145 0.0000 -3.9718 5.1145" Properties=species:S:1:pos:R:3 pbc="T T T"
K 0.0000 0.0000 1.6598
K 0.0000 0.0000 13.6838
Li -1.7199 -0.9930 5.1145
Li -1.7198 0.9930 10.2291
Li 0.0000 1.9859 5.1145
Pa 0.0000 0.0000 7.6718
H -1.7796 -1.0274 6.9814
H 0.0000 -1.3864 5.9288
H -1.2007 0.6932 5.9288
H 0.0000 -2.0549 8.3622
H -1.7796 1.0274 8.3622
H -1.2007 -0.6932 9.4149
H 1.2007 0.6932 5.9288
H 1.7796 -1.0274 6.9815
H 0.0000 2.0549 6.9815
H 1.2007 -0.6932 9.4149
H 0.0000 1.3864 9.4149
H 1.7796 1.0274 8.3622
```

SG   No. 166
Crystal system   trigonal

A relaxed K2LiH6Pd crystal, computed with GGA-PBE.

Structure (extended XYZ):
```
10
Lattice="5.6881 0.0000 0.0000 -2.8441 4.9261 0.0000 0.0000 0.0000 4.9642" Properties=species:S:1:pos:R:3 pbc="T T T"
K 0.0000 3.2841 1.1572
K 2.8441 1.6420 3.8069
Li 0.0000 0.0000 2.4821
H 0.0000 1.3782 3.9420
H -1.6505 4.2370 3.9420
H 1.1936 0.6891 1.0221
H 1.6505 4.2370 3.9420
H 4.4946 0.6891 1.0221
H 2.8441 3.5478 1.0221
Pd 0.0000 0.0000 0.0000
```

SG   No. 164
Crystal system   trigonal

A relaxed K2LiH4Pd crystal, computed with GGA-PBE.

Structure (extended XYZ):
```
16
Lattice="0.0000 5.9725 9.6548 2.4868 0.0000 9.6548 2.4868 5.9725 0.0000" Properties=species:S:1:pos:R:3 pbc="T T T"
K 1.8651 4.4794 0.8772
K 3.1085 7.4657 5.7046
K 1.8651 4.4794 13.6050
K 3.1085 7.4657 18.4324
Li 0.6217 1.4931 2.4137
Li 4.3518 10.4519 16.8959
H 3.0043 3.2737 6.8178
H 3.0043 5.6851 7.6644
H 4.2477 6.2599 12.4918
H 4.2477 8.6714 11.6452
H 0.7259 3.2737 7.6644
H 0.7259 5.6851 6.8178
H 1.9692 6.2599 11.6452
H 1.9692 8.6714 12.4918
Pd 1.8651 4.4794 7.2411
Pd 3.1085 7.4657 12.0685
```

SG   No. 70
Crystal system   orthorhombic

A relaxed K2LiH6Pt crystal, computed with GGA-PBE.

Structure (extended XYZ):
```
10
Lattice="5.7279 0.0000 0.0000 -2.8640 4.9605 0.0000 0.0000 0.0000 5.0318" Properties=species:S:1:pos:R:3 pbc="T T T"
K 0.0000 3.3070 1.3843
K 2.8640 1.6535 3.6475
Li 0.0000 0.0000 0.0000
H 0.0000 1.3803 3.5222
H -1.6686 4.2704 3.5222
H 1.1954 0.6902 1.5096
H 1.6686 4.2704 3.5222
H 4.5325 0.6902 1.5096
H 2.8640 3.5802 1.5096
Pt 0.0000 0.0000 2.5159
```

SG   No. 164
Crystal system   trigonal

A relaxed K2LiPuH6 crystal, computed with GGA-PBE.

Structure (extended XYZ):
```
10
Lattice="0.0000 4.2799 4.2799 4.2799 0.0000 4.2799 4.2799 4.2799 0.0000" Properties=species:S:1:pos:R:3 pbc="T T T"
K 2.1399 2.1399 2.1399
K 6.4198 6.4198 6.4198
Li 0.0000 0.0000 0.0000
Pu 4.2799 4.2799 4.2799
H 4.2799 4.2799 2.0587
H 4.2799 2.0587 4.2799
H 6.5011 4.2799 4.2799
H 2.0587 4.2799 4.2799
H 4.2799 6.5011 4.2799
H 4.2799 4.2799 6.5011
```

SG   No. 225
Crystal system   cubic

A relaxed K2RbLiH4 crystal, computed with GGA-PBE.

Structure (extended XYZ):
```
16
Lattice="1.9192 -6.4853 0.0000 1.9192 6.4853 0.0000 0.0000 0.0000 13.1971" Properties=species:S:1:pos:R:3 pbc="T T T"
K 1.9192 4.7393 7.2070
K 1.9192 4.7393 12.5886
K 1.9192 -4.7393 0.6085
K 1.9192 -4.7393 5.9901
Rb 1.9192 1.2942 9.8978
Rb 1.9192 -1.2942 3.2993
Li 1.9192 2.3453 3.2993
Li 1.9192 -2.3453 9.8978
H 1.9192 5.1627 9.8978
H 1.9192 3.4296 1.7795
H 1.9192 3.4296 4.8191
H 1.9192 0.0000 0.0000
H 1.9192 0.0000 6.5986
H 1.9192 -3.4296 8.3780
H 1.9192 -3.4296 11.4176
H 1.9192 -5.1627 3.2993
```

SG   No. 63
Crystal system   orthorhombic

Number 1: total energy -3.274 eV/atom. Number 2: total energy -3.181 eV/atom. Number 3: total energy -3.059 eV/atom. Number 4: total energy -3.374 eV/atom. Number 5: total energy -3.940 eV/atom. Number 6: total energy -2.529 eV/atom.